# 1
Compound: Tb2Re3Si5
Source: Alexandria via LeMat-Bulk
Functional: GGA-PBE
Structure: optimized geometry

Cell lengths 11.000, 11.000, 5.541 Å; angles 90.00, 90.00, 90.00 degrees
Fractional positions:
Si 0.500 0.500 0.743
Tb 0.423 0.263 0.500
Si 0.686 0.972 0.500
Si 0.028 0.686 0.500
Si 0.000 0.000 0.757
Re 0.353 0.377 0.000
Si 0.314 0.028 0.500
Tb 0.577 0.737 0.500
Re 0.377 0.647 0.000
Re 0.123 0.147 0.500
Tb 0.237 0.077 0.000
Tb 0.923 0.237 0.000
Tb 0.263 0.577 0.500
Tb 0.737 0.423 0.500
Si 0.000 0.000 0.243
Si 0.972 0.314 0.500
Si 0.828 0.672 0.250
Si 0.814 0.472 0.000
Si 0.528 0.814 0.000
Si 0.672 0.172 0.750
Re 0.500 0.000 0.750
Tb 0.763 0.923 0.000
Si 0.672 0.172 0.250
Si 0.172 0.328 0.250
Si 0.186 0.528 0.000
Re 0.147 0.877 0.500
Re 0.647 0.623 0.000
Si 0.172 0.328 0.750
Re 0.853 0.123 0.500
Tb 0.077 0.763 0.000
Re 0.877 0.853 0.500
Re 0.000 0.500 0.250
Si 0.328 0.828 0.250
Si 0.328 0.828 0.750
Re 0.000 0.500 0.750
Si 0.828 0.672 0.750
Si 0.500 0.500 0.257
Re 0.500 0.000 0.250
Re 0.623 0.353 0.000
Si 0.472 0.186 0.000

Summary:
As for the space group: P4/mnc, No. 128. The value obtained for the formation energy without anion corrections is -596 meV per atom. Its uncorrected energy is -7.968 eV/atom. For the volume, the calculation gives 16.76 Å³/atom. The calculation puts the total magnetization at 0.00 μB per cell.

# 2
Compound: Sc4AgRh
Source: Alexandria via LeMat-Bulk
Functional: GGA-PBE
Structure: optimized geometry

Cell lengths 4.594, 4.596, 6.586 Å; angles 89.91, 89.96, 90.00 degrees
Fractional positions:
Sc 0.001 0.497 0.265
Rh 0.001 0.997 0.498
Sc 0.002 0.498 0.731
Ag 0.501 0.497 0.998
Sc 0.501 0.998 0.731
Sc 0.501 0.997 0.265

Summary:
As for the space group: C2/m, No. 12. The value obtained for the formation energy from the elements is -23 kJ per mole of atoms. Its uncorrected energy is -6.162 eV/atom. The polymorph energy (0 for the lowest one) comes out at 238 meV per atom. For the volume, the calculation gives 23.18 Å³/atom. The calculation puts the total magnetization at 0.00 μB per cell.

# 3
Compound: NdHoS2
Source: Alexandria via LeMat-Bulk
Functional: GGA-PBE
Structure: optimized geometry

Cell lengths 3.873, 3.873, 7.306 Å; angles 74.63, 74.63, 60.00 degrees
Fractional positions:
S 0.087 0.087 0.739
S 0.246 0.246 0.261
Ho 0.494 0.494 0.517
Nd 0.672 0.672 0.983

Summary:
As for the space group: R3m, No. 160. The value obtained for the formation energy without anion corrections is -1942 meV per atom. Its uncorrected energy is -6.342 eV/atom. The polymorph energy (0 for the lowest one) comes out at 66 meV per atom. For the volume, the calculation gives 22.59 Å³/atom. The calculation puts the total magnetization at 0.00 μB per cell.

# 4
Compound: Cs2Dy2SbS6
Source: Alexandria via LeMat-Bulk
Functional: GGA-PBE
Structure: optimized geometry

Cell lengths 6.924, 6.924, 8.605 Å; angles 97.93, 97.93, 119.82 degrees
Fractional positions:
S 0.939 0.615 0.323
Dy 0.667 0.333 0.500
S 0.262 0.262 0.324
S 0.061 0.385 0.677
Sb 0.000 0.000 0.500
Cs 0.831 0.169 0.000
Cs 0.169 0.831 0.000
Dy 0.333 0.667 0.500
S 0.615 0.939 0.323
S 0.738 0.738 0.676
S 0.385 0.061 0.677

Summary:
As for the space group: C2/m, No. 12. The value obtained for the formation energy without anion corrections is -1382 meV per atom. Its uncorrected energy is -5.000 eV/atom. For the volume, the calculation gives 31.28 Å³/atom. The calculation puts the total magnetization at 0.00 μB per cell.

# 5
Compound: Ba6NaTl3
Source: Alexandria via LeMat-Bulk
Functional: GGA-PBE
Structure: optimized geometry

Cell lengths 5.992, 11.834, 13.270 Å; angles 103.79, 90.00, 90.00 degrees
Fractional positions:
Na 0.750 0.040 0.408
Ba 0.750 0.210 0.718
Ba 0.250 0.790 0.282
Tl 0.250 0.375 0.790
Tl 0.250 0.531 0.374
Tl 0.750 0.625 0.210
Tl 0.250 0.805 0.971
Ba 0.750 0.703 0.487
Ba 0.750 0.885 0.824
Ba 0.250 0.115 0.176
Ba 0.750 0.884 0.110
Tl 0.750 0.195 0.029
Ba 0.250 0.637 0.700
Ba 0.250 0.445 0.088
Ba 0.250 0.116 0.890
Tl 0.750 0.469 0.626
Ba 0.750 0.555 0.912
Ba 0.250 0.297 0.513
Ba 0.750 0.363 0.300
Na 0.250 0.960 0.592

Summary:
As for the space group: P2_1/m, No. 11. The value obtained for the formation energy from the elements is -24 kJ per mole of atoms. Its uncorrected energy is -2.240 eV/atom. The polymorph energy (0 for the lowest one) comes out at 0 meV per atom. For the volume, the calculation gives 45.69 Å³/atom. The calculation puts the total magnetization at 0.00 μB per cell.

# 6
Compound: BaCdHgPt2
Source: Alexandria via LeMat-Bulk
Functional: GGA-PBE
Structure: optimized geometry

Cell lengths 4.516, 4.516, 6.868 Å; angles 109.19, 109.19, 90.00 degrees
Fractional positions:
Ba 0.000 0.000 0.000
Pt 0.607 0.607 0.215
Cd 0.250 0.750 0.500
Hg 0.750 0.250 0.500
Pt 0.393 0.393 0.785

Summary:
As for the space group: I-4m2, No. 119. The value obtained for the formation energy from the elements is -49 kJ per mole of atoms. Its uncorrected energy is -3.552 eV/atom. For the volume, the calculation gives 24.80 Å³/atom. The calculation puts the total magnetization at 0.00 μB per cell.